P) Below is RbTiSN2 after structural relaxation, with properties calculated at the PBE level.

The structure in POSCAR format:
```
RbTiSN2
1.0
4.140 0.000 0.000
0.000 4.140 0.000
0.000 0.000 5.843
N Rb Ti S
2 1 1 1
direct
0.500 0.000 0.000
0.000 0.500 0.000
0.000 0.000 0.000
0.500 0.500 0.500
0.000 0.000 0.500
```

Values from the calculation:
Volume   20.03 A^3/atom
N(E_F)   4.356 states/eV/f.u.

=====

Q) Below is RbTiSN2 after structural relaxation, with properties calculated at the PBE level.

The structure in POSCAR format:
```
RbTiSN2
1.0
4.253 0.000 0.000
0.000 4.253 0.000
0.000 0.000 4.818
Rb Ti N S
1 1 2 1
direct
0.500 0.500 0.500
0.000 0.000 0.000
0.500 0.000 0.000
0.000 0.500 0.000
0.000 0.000 0.500
```

Values from the calculation:
Volume   17.43 A^3/atom
N(E_F)   1.473 states/eV/f.u.

=====

It is Q) that is the most stable of them.

=====

P) Below is RbVS2N after structural relaxation, with properties calculated at the PBE level.

The structure in POSCAR format:
```
RbVS2N
1.0
4.895 0.000 0.000
0.000 4.895 0.000
0.000 0.000 3.837
V Rb S N
1 1 2 1
direct
0.000 0.000 0.000
0.500 0.500 0.500
0.000 0.500 0.000
0.500 0.000 0.000
0.000 0.000 0.500
```

Values from the calculation:
Volume   18.39 A^3/atom
N(E_F)   2.635 states/eV/f.u.

=====

Q) Below is RbVS2N after structural relaxation, with properties calculated at the PBE level.

The structure in POSCAR format:
```
RbVS2N
1.0
5.679 0.000 0.000
0.000 5.679 0.000
0.000 0.000 4.924
S Rb V N
2 1 1 1
direct
0.000 0.500 0.000
0.500 0.000 0.000
0.000 0.000 0.000
0.500 0.500 0.500
0.000 0.000 0.500
```

Values from the calculation:
Volume   31.76 A^3/atom
N(E_F)   5.718 states/eV/f.u.

=====

It is P) that is the most stable of them.

=====

P) Below is RbYS2N after structural relaxation, with properties calculated at the PBE level.

The structure in POSCAR format:
```
RbYS2N
1.0
-5.319 -0.122 0.829
-0.719 -2.066 -4.920
0.381 -4.414 1.797
S Rb Y N
2 1 1 1
direct
0.500 0.000 0.000
0.000 0.500 0.000
0.500 0.500 0.500
0.000 0.000 0.000
0.000 0.000 0.500
```

Values from the calculation:
Volume   27.72 A^3/atom
N(E_F)   3.353 states/eV/f.u.

=====

Q) Below is RbYS2N after structural relaxation, with properties calculated at the PBE level.

The structure in POSCAR format:
```
RbYS2N
1.0
-2.818 2.441 3.835
-3.870 1.078 -3.531
-1.888 -3.669 0.948
Rb Y S N
1 1 2 1
direct
0.000 0.000 0.000
0.500 0.500 0.500
0.500 0.000 0.000
0.000 0.500 0.000
0.000 0.000 0.500
```

Values from the calculation:
Volume   24.22 A^3/atom
N(E_F)   2.366 states/eV/f.u.

=====

It is P) that is the most stable of them.